[1]
DFT (PBE) results for an optimized crystal structure of Ce2Th2ZnSi4.

Calculated values
**Uncorrected energy**: -102.37 eV per cell

The structure in CIF format:
```
data_Ce2Th2ZnSi4
_cell_length_a 6.9817
_cell_length_b 6.9817
_cell_length_c 8.3855
_cell_angle_alpha 90.00
_cell_angle_beta 90.00
_cell_angle_gamma 90.00
_symmetry_space_group_name_H-M 'I 4/m m m'
_symmetry_Int_Tables_number 139
_symmetry_space_group_name_Hall '-I 4 2'
loop_
_atom_site_label
_atom_site_fract_x
_atom_site_fract_y
_atom_site_fract_z
_atom_site_occupancy
Ce1 0.0000 0.0000 0.1684 1
Th1 0.0000 0.5000 0.2500 1
Zn1 0.0000 0.0000 0.5000 1
Si1 0.2398 0.2398 0.5000 1
```


[2]
DFT (PBE) results for an optimized crystal structure of CeTi2Si4.

Calculated values
**Uncorrected energy**: -95.28 eV per cell

The structure in CIF format:
```
data_CeTi2Si4
_cell_length_a 3.7342
_cell_length_b 3.7418
_cell_length_c 17.1322
_cell_angle_alpha 90.00
_cell_angle_beta 90.00
_cell_angle_gamma 90.00
_symmetry_space_group_name_H-M 'I m m m'
_symmetry_Int_Tables_number 71
_symmetry_space_group_name_Hall '-I 2 2'
loop_
_atom_site_label
_atom_site_fract_x
_atom_site_fract_y
_atom_site_fract_z
_atom_site_occupancy
Ce1 0.0000 0.0000 0.0000 1
Ti1 0.0000 0.5000 0.3114 1
Si1 0.0000 0.0000 0.4235 1
Si2 0.0000 0.5000 0.1617 1
```


[3]
DFT (PBE) results for an optimized crystal structure of CeTiSi2.

Calculated values
**Uncorrected energy**: -26.75 eV per cell
**ΔE to the lowest computed polymorph**: 0 meV per atom

The structure in CIF format:
```
data_CeTiSi2
_cell_length_a 3.1221
_cell_length_b 3.7244
_cell_length_c 6.2775
_cell_angle_alpha 90.00
_cell_angle_beta 90.00
_cell_angle_gamma 90.00
_symmetry_space_group_name_H-M 'P m m m'
_symmetry_Int_Tables_number 47
_symmetry_space_group_name_Hall '-P 2 2'
loop_
_atom_site_label
_atom_site_fract_x
_atom_site_fract_y
_atom_site_fract_z
_atom_site_occupancy
Ce1 0.0000 0.0000 0.0000 1
Ti1 0.0000 0.0000 0.5000 1
Si1 0.5000 0.5000 0.3069 1
```


[4]
DFT (PBE) results for an optimized crystal structure of Ce2TiSi.

Calculated values
**Uncorrected energy**: -26.39 eV per cell
**ΔE to the lowest computed polymorph**: 0 meV per atom

The structure in CIF format:
```
data_Ce2TiSi
_cell_length_a 4.2232
_cell_length_b 4.2232
_cell_length_c 4.5977
_cell_angle_alpha 90.00
_cell_angle_beta 90.00
_cell_angle_gamma 90.00
_symmetry_space_group_name_H-M 'P 4/m m m'
_symmetry_Int_Tables_number 123
_symmetry_space_group_name_Hall '-P 4 2'
loop_
_atom_site_label
_atom_site_fract_x
_atom_site_fract_y
_atom_site_fract_z
_atom_site_occupancy
Ce1 0.0000 0.5000 0.0000 1
Ti1 0.0000 0.0000 0.5000 1
Si1 0.5000 0.5000 0.5000 1
```


[5]
DFT (PBE) results for an optimized crystal structure of Ce2TiSi.

Calculated values
**Uncorrected energy**: -101.44 eV per cell
**ΔE to the lowest computed polymorph**: 258 meV per atom

The structure in CIF format:
```
data_Ce2TiSi
_cell_length_a 7.1433
_cell_length_b 7.1433
_cell_length_c 7.1433
_cell_angle_alpha 90.00
_cell_angle_beta 90.00
_cell_angle_gamma 90.00
_symmetry_space_group_name_H-M 'F m -3 m'
_symmetry_Int_Tables_number 225
_symmetry_space_group_name_Hall '-F 4 2 3'
loop_
_atom_site_label
_atom_site_fract_x
_atom_site_fract_y
_atom_site_fract_z
_atom_site_occupancy
Ce1 0.2500 0.2500 0.2500 1
Ti1 0.0000 0.0000 0.0000 1
Si1 0.0000 0.0000 0.5000 1
```


[6]
DFT (PBE) results for an optimized crystal structure of CeTiSi2.

Calculated values
**Uncorrected energy**: -76.79 eV per cell
**ΔE to the lowest computed polymorph**: 288 meV per atom

The structure in CIF format:
```
data_CeTiSi2
_cell_length_a 3.0585
_cell_length_b 3.0585
_cell_length_c 26.9529
_cell_angle_alpha 90.00
_cell_angle_beta 90.00
_cell_angle_gamma 120.00
_symmetry_space_group_name_H-M 'R -3 m'
_symmetry_Int_Tables_number 166
_symmetry_space_group_name_Hall '-R 3 2"'
loop_
_atom_site_label
_atom_site_fract_x
_atom_site_fract_y
_atom_site_fract_z
_atom_site_occupancy
Ce1 0.0000 0.0000 0.0000 1
Ti1 0.0000 0.0000 0.5000 1
Si1 0.0000 0.0000 0.2403 1
```


[7]
DFT (PBE) results for an optimized crystal structure of Ce4TlSi2.

Calculated values
**Uncorrected energy**: -116.61 eV per cell

The structure in CIF format:
```
data_Ce4TlSi2
_cell_length_a 4.2088
_cell_length_b 4.2088
_cell_length_c 37.9421
_cell_angle_alpha 90.00
_cell_angle_beta 90.00
_cell_angle_gamma 120.00
_symmetry_space_group_name_H-M 'R -3 m'
_symmetry_Int_Tables_number 166
_symmetry_space_group_name_Hall '-R 3 2"'
loop_
_atom_site_label
_atom_site_fract_x
_atom_site_fract_y
_atom_site_fract_z
_atom_site_occupancy
Ce1 0.0000 0.0000 0.1065 1
Ce2 0.0000 0.0000 0.3122 1
Tl1 0.0000 0.0000 0.5000 1
Si1 0.0000 0.0000 0.3967 1
```


[8]
DFT (PBE) results for an optimized crystal structure of Ce5TlSi2.

Calculated values
**Uncorrected energy**: -184.46 eV per cell
**ΔE to the lowest computed polymorph**: 0 meV per atom

The structure in CIF format:
```
data_Ce5TlSi2
_cell_length_a 7.7621
_cell_length_b 7.7621
_cell_length_c 14.3548
_cell_angle_alpha 90.00
_cell_angle_beta 90.00
_cell_angle_gamma 90.00
_symmetry_space_group_name_H-M 'I 4/m c m'
_symmetry_Int_Tables_number 140
_symmetry_space_group_name_Hall '-I 4 2c'
loop_
_atom_site_label
_atom_site_fract_x
_atom_site_fract_y
_atom_site_fract_z
_atom_site_occupancy
Ce1 0.0000 0.0000 0.0000 1
Ce2 0.1730 0.3270 0.1393 1
Tl1 0.0000 0.0000 0.2500 1
Si1 0.1185 0.3815 0.5000 1
```


[9]
DFT (PBE) results for an optimized crystal structure of Ce5TlSi3.

Calculated values
**Uncorrected energy**: -104.65 eV per cell

The structure in CIF format:
```
data_Ce5TlSi3
_cell_length_a 9.0035
_cell_length_b 9.0035
_cell_length_c 6.2711
_cell_angle_alpha 90.00
_cell_angle_beta 90.00
_cell_angle_gamma 120.00
_symmetry_space_group_name_H-M 'P 63/m c m'
_symmetry_Int_Tables_number 193
_symmetry_space_group_name_Hall '-P 6c 2'
loop_
_atom_site_label
_atom_site_fract_x
_atom_site_fract_y
_atom_site_fract_z
_atom_site_occupancy
Ce1 0.0000 0.3092 0.2500 1
Ce2 0.3333 0.6667 0.0000 1
Tl1 0.0000 0.0000 0.0000 1
Si1 0.0000 0.3595 0.7500 1
```


[10]
DFT (PBE) results for an optimized crystal structure of Ce7Tl2Si2.

Calculated values
**Uncorrected energy**: -117.29 eV per cell

The structure in CIF format:
```
data_Ce7Tl2Si2
_cell_length_a 8.3468
_cell_length_b 11.4220
_cell_length_c 6.7967
_cell_angle_alpha 90.00
_cell_angle_beta 90.00
_cell_angle_gamma 90.00
_symmetry_space_group_name_H-M 'C m m m'
_symmetry_Int_Tables_number 65
_symmetry_space_group_name_Hall '-C 2 2'
loop_
_atom_site_label
_atom_site_fract_x
_atom_site_fract_y
_atom_site_fract_z
_atom_site_occupancy
Ce1 0.0000 0.0000 0.0000 1
Ce2 0.0000 0.5000 0.2151 1
Ce3 0.2500 0.2500 0.2931 1
Tl1 0.1750 0.0000 0.5000 1
Si1 0.0000 0.2666 0.0000 1
```


[11]
DFT (PBE) results for an optimized crystal structure of Ce5TlSi2.

Calculated values
**Uncorrected energy**: -181.92 eV per cell
**ΔE to the lowest computed polymorph**: 79 meV per atom

The structure in CIF format:
```
data_Ce5TlSi2
_cell_length_a 5.2053
_cell_length_b 9.4547
_cell_length_c 16.9808
_cell_angle_alpha 90.00
_cell_angle_beta 90.00
_cell_angle_gamma 90.00
_symmetry_space_group_name_H-M 'C m c m'
_symmetry_Int_Tables_number 63
_symmetry_space_group_name_Hall '-C 2c 2'
loop_
_atom_site_label
_atom_site_fract_x
_atom_site_fract_y
_atom_site_fract_z
_atom_site_occupancy
Ce1 0.0000 0.0676 0.0683 1
Ce2 0.0000 0.2625 0.7500 1
Ce3 0.0000 0.4092 0.0980 1
Tl1 0.0000 0.0626 0.2500 1
Si1 0.0000 0.2656 0.5731 1
```


[12]
DFT (PBE) results for an optimized crystal structure of Ce2TmSi.

Calculated values
**Uncorrected energy**: -22.85 eV per cell
**ΔE to the lowest computed polymorph**: 42 meV per atom

The structure in CIF format:
```
data_Ce2TmSi
_cell_length_a 3.8617
_cell_length_b 3.8617
_cell_length_c 6.9926
_cell_angle_alpha 90.00
_cell_angle_beta 90.00
_cell_angle_gamma 90.00
_symmetry_space_group_name_H-M 'P 4/m m m'
_symmetry_Int_Tables_number 123
_symmetry_space_group_name_Hall '-P 4 2'
loop_
_atom_site_label
_atom_site_fract_x
_atom_site_fract_y
_atom_site_fract_z
_atom_site_occupancy
Ce1 0.0000 0.0000 0.1932 1
Tm1 0.5000 0.5000 0.5000 1
Si1 0.5000 0.5000 0.0000 1
```


[13]
DFT (PBE) results for an optimized crystal structure of Ce2TmSi.

Calculated values
**Uncorrected energy**: -23.02 eV per cell
**ΔE to the lowest computed polymorph**: 0 meV per atom

The structure in CIF format:
```
data_Ce2TmSi
_cell_length_a 4.3358
_cell_length_b 4.3358
_cell_length_c 4.9671
_cell_angle_alpha 90.00
_cell_angle_beta 90.00
_cell_angle_gamma 90.00
_symmetry_space_group_name_H-M 'P 4/m m m'
_symmetry_Int_Tables_number 123
_symmetry_space_group_name_Hall '-P 4 2'
loop_
_atom_site_label
_atom_site_fract_x
_atom_site_fract_y
_atom_site_fract_z
_atom_site_occupancy
Ce1 0.0000 0.5000 0.0000 1
Tm1 0.0000 0.0000 0.5000 1
Si1 0.5000 0.5000 0.5000 1
```


[14]
DFT (PBE) results for an optimized crystal structure of Ce2Tm2Si3.

Calculated values
**Uncorrected energy**: -79.61 eV per cell

The structure in CIF format:
```
data_Ce2Tm2Si3
_cell_length_a 13.1729
_cell_length_b 4.2544
_cell_length_c 6.8695
_cell_angle_alpha 90.00
_cell_angle_beta 99.66
_cell_angle_gamma 90.00
_symmetry_space_group_name_H-M 'C 1 2/m 1'
_symmetry_Int_Tables_number 12
_symmetry_space_group_name_Hall '-C 2y'
loop_
_atom_site_label
_atom_site_fract_x
_atom_site_fract_y
_atom_site_fract_z
_atom_site_occupancy
Ce1 0.1216 0.0000 0.3575 1
Tm1 0.1286 0.5000 0.8735 1
Si1 0.0000 0.5000 0.5000 1
Si2 0.2460 0.0000 0.7474 1
```


[15]
DFT (PBE) results for an optimized crystal structure of CeTmSi.

Calculated values
**Uncorrected energy**: -67.43 eV per cell

The structure in CIF format:
```
data_CeTmSi
_cell_length_a 6.8465
_cell_length_b 6.8465
_cell_length_c 6.8465
_cell_angle_alpha 90.00
_cell_angle_beta 90.00
_cell_angle_gamma 90.00
_symmetry_space_group_name_H-M 'F -4 3 m'
_symmetry_Int_Tables_number 216
_symmetry_space_group_name_Hall 'F -4 2 3'
loop_
_atom_site_label
_atom_site_fract_x
_atom_site_fract_y
_atom_site_fract_z
_atom_site_occupancy
Ce1 0.0000 0.0000 0.0000 1
Tm1 0.0000 0.0000 0.5000 1
Si1 0.2500 0.2500 0.2500 1
```


[16]
DFT (PBE) results for an optimized crystal structure of CeTmSi4.

Calculated values
**Uncorrected energy**: -71.15 eV per cell

The structure in CIF format:
```
data_CeTmSi4
_cell_length_a 7.0150
_cell_length_b 3.9777
_cell_length_c 8.1927
_cell_angle_alpha 90.00
_cell_angle_beta 90.00
_cell_angle_gamma 90.00
_symmetry_space_group_name_H-M 'P m m a'
_symmetry_Int_Tables_number 51
_symmetry_space_group_name_Hall '-P 2a 2a'
loop_
_atom_site_label
_atom_site_fract_x
_atom_site_fract_y
_atom_site_fract_z
_atom_site_occupancy
Ce1 0.2500 0.0000 0.1280 1
Tm1 0.2500 0.0000 0.6216 1
Si1 0.0820 0.5000 0.3763 1
Si2 0.0839 0.5000 0.8739 1
```


[17]
DFT (PBE) results for an optimized crystal structure of CeTmSi.

Calculated values
**Uncorrected energy**: -16.54 eV per cell

The structure in CIF format:
```
data_CeTmSi
_cell_length_a 4.6800
_cell_length_b 4.6800
_cell_length_c 4.0615
_cell_angle_alpha 90.00
_cell_angle_beta 90.00
_cell_angle_gamma 120.00
_symmetry_space_group_name_H-M 'P 3 m 1'
_symmetry_Int_Tables_number 156
_symmetry_space_group_name_Hall 'P 3 -2"'
loop_
_atom_site_label
_atom_site_fract_x
_atom_site_fract_y
_atom_site_fract_z
_atom_site_occupancy
Ce1 0.0000 0.0000 0.0000 1
Tm1 0.6667 0.3333 0.5320 1
Si1 0.3333 0.6667 0.3812 1
```


[18]
DFT (PBE) results for an optimized crystal structure of Ce2TmSi.

Calculated values
**Uncorrected energy**: -64.13 eV per cell
**ΔE to the lowest computed polymorph**: 411 meV per atom

The structure in CIF format:
```
data_Ce2TmSi
_cell_length_a 3.2134
_cell_length_b 3.2134
_cell_length_c 33.4663
_cell_angle_alpha 90.00
_cell_angle_beta 90.00
_cell_angle_gamma 120.00
_symmetry_space_group_name_H-M 'R -3 m'
_symmetry_Int_Tables_number 166
_symmetry_space_group_name_Hall '-R 3 2"'
loop_
_atom_site_label
_atom_site_fract_x
_atom_site_fract_y
_atom_site_fract_z
_atom_site_occupancy
Ce1 0.0000 0.0000 0.0949 1
Tm1 0.0000 0.0000 0.0000 1
Si1 0.0000 0.0000 0.5000 1
```


[19]
DFT (PBE) results for an optimized crystal structure of Ce2Tm3Si4.

Calculated values
**Uncorrected energy**: -106.92 eV per cell

The structure in CIF format:
```
data_Ce2Tm3Si4
_cell_length_a 7.6636
_cell_length_b 7.6852
_cell_length_c 7.3863
_cell_angle_alpha 90.00
_cell_angle_beta 107.54
_cell_angle_gamma 90.00
_symmetry_space_group_name_H-M 'P 1 21/c 1'
_symmetry_Int_Tables_number 14
_symmetry_space_group_name_Hall '-P 2ybc'
loop_
_atom_site_label
_atom_site_fract_x
_atom_site_fract_y
_atom_site_fract_z
_atom_site_occupancy
Ce1 0.1947 0.1746 0.0790 1
Tm1 0.2450 0.6801 0.2514 1
Tm2 0.5000 0.0000 0.5000 1
Si1 0.0782 0.5299 0.8726 1
Si2 0.4909 0.1198 0.8750 1
```


[20]
DFT (PBE) results for an optimized crystal structure of CeTmSi.

Calculated values
**Uncorrected energy**: -70.31 eV per cell

The structure in CIF format:
```
data_CeTmSi
_cell_length_a 4.1275
_cell_length_b 4.1275
_cell_length_c 16.5243
_cell_angle_alpha 90.00
_cell_angle_beta 90.00
_cell_angle_gamma 90.00
_symmetry_space_group_name_H-M 'I 4/m m m'
_symmetry_Int_Tables_number 139
_symmetry_space_group_name_Hall '-I 4 2'
loop_
_atom_site_label
_atom_site_fract_x
_atom_site_fract_y
_atom_site_fract_z
_atom_site_occupancy
Ce1 0.0000 0.5000 0.0000 1
Tm1 0.0000 0.0000 0.1807 1
Si1 0.0000 0.0000 0.3590 1
```